1.
This record from Alexandria via LeMat-Bulk describes a geometry-optimized PmCu3Ge structure. The functional is PBE-GGA.

abc: 4.5989 6.0468 6.0491
angles: 90.00 90.05 90.18
Last column: nearest neighbours and their distance in Å.
Atoms (fractional coordinates):
Pm1 0.2496 0.2388 0.2500  8 Cu 2.89-3.23, 2 Ge 3.03
Pm2 0.7504 0.7612 0.7500  8 Cu 2.89-3.23, 2 Ge 3.03
Cu1 0.2496 0.7421 0.4482  2 Cu 2.40-2.61, 1 Ge 2.60
Cu2 0.2511 0.7429 0.0518  2 Cu 2.40-2.60, 1 Ge 2.60
Cu3 0.2520 0.0500 0.7499  1 Ge 2.33, 2 Cu 2.60-2.61
Cu4 0.7480 0.9500 0.2501  1 Ge 2.33, 2 Cu 2.60-2.61
Cu5 0.7489 0.2571 0.9482  2 Cu 2.40-2.60, 1 Ge 2.60
Cu6 0.7504 0.2579 0.5518  2 Cu 2.40-2.61, 1 Ge 2.60
Ge1 0.2493 0.4357 0.7500  3 Cu 2.33-2.60
Ge2 0.7507 0.5643 0.2500  3 Cu 2.33-2.60

Density   8.1 Mg/m³
E_tot   -4.567 eV/atom

---

2.
This record from Alexandria via LeMat-Bulk describes a geometry-optimized TlCoTcCl6 structure. The functional is PBE-GGA.

abc: 6.2990 6.2990 7.2504
angles: 90.00 90.00 120.00
Last column: nearest neighbours and their distance in Å.
Atoms (fractional coordinates):
Tl1 0.0000 0.0000 0.0000  6 Cl 3.23
Co1 0.3333 0.6667 0.5000  6 Cl 2.45
Tc1 0.6667 0.3333 0.5000  6 Cl 2.40
Cl1 0.3699 0.0065 0.6883  1 Tc 2.40, 1 Co 2.45
Cl2 0.3699 0.3633 0.3117  1 Tc 2.40, 1 Co 2.45
Cl3 0.6367 0.0065 0.3117  1 Tc 2.40, 1 Co 2.45
Cl4 0.6367 0.6301 0.6883  1 Tc 2.40, 1 Co 2.45
Cl5 0.9935 0.3633 0.6883  1 Tc 2.40, 1 Co 2.45
Cl6 0.9935 0.6301 0.3117  1 Tc 2.40, 1 Co 2.45

Density   3.8 Mg/m³
E_tot   -4.119 eV/atom
ΔE_f (raw)   -0.68 eV per atom